Crystalline Co2Sn2Pd at its relaxed geometry. Source: Alexandria, functional GGA-PBE.

Summary:
Calculated volume, Å³ per cell: 159.64
D(E_F), states/eV per cell: 6.863
ΔE to the lowest computed polymorph, meV/atom: 0.0
Energy of formation, eV/atom: -0.01

Cell: 7.3306 7.3306 2.9707 Å, 90.00 90.00 90.00°
With the nearest neighbours (Å) after each atom.
Atoms (fractional coordinates):
Co: 0.1352 0.6352 0.5000  6 Sn 2.59-2.63, 1 Co 2.80
Co: 0.6352 0.8648 0.5000  6 Sn 2.59-2.63, 1 Co 2.80
Co: 0.8648 0.3648 0.5000  6 Sn 2.59-2.63, 1 Co 2.80
Co: 0.3648 0.1352 0.5000  6 Sn 2.59-2.63, 1 Co 2.80
Sn: 0.3396 0.8396 0.0000  6 Co 2.59-2.63, 2 Pd 2.75
Sn: 0.8396 0.6604 0.0000  6 Co 2.59-2.63, 2 Pd 2.75
Sn: 0.6604 0.1604 0.0000  6 Co 2.59-2.63, 2 Pd 2.75
Sn: 0.1604 0.3396 0.0000  6 Co 2.59-2.63, 2 Pd 2.75
Pd: 0.0000 0.0000 0.0000  4 Sn 2.75, 2 Pd 2.97
Pd: 0.5000 0.5000 0.0000  4 Sn 2.75, 2 Pd 2.97